First-principles (meta-GGA SCAN) data for a crystal of PmDyZn2 relaxed with PBEsol, as listed in the Alexandria database.

```
PmDyZn2
1.0
7.082 0.000 0.000
0.000 7.082 0.000
0.000 0.000 7.082
Pm Dy Zn
4 4 8
direct
0.000 0.000 0.000
0.000 0.500 0.500
0.500 0.000 0.500
0.500 0.500 0.000
0.000 0.000 0.500
0.000 0.500 0.000
0.500 0.000 0.000
0.500 0.500 0.500
0.250 0.250 0.250
0.250 0.250 0.750
0.250 0.750 0.250
0.250 0.750 0.750
0.750 0.250 0.250
0.750 0.250 0.750
0.750 0.750 0.250
0.750 0.750 0.750
```

Values from the calculation:
DFT total energy	-30.097	eV/atom
spin magnetization	0.00	μB per atom
ΔE_f	-394	meV per atom



First-principles (meta-GGA SCAN) data for a crystal of Dy3Pt4 relaxed with PBEsol, as listed in the Alexandria database.

```
Dy3Pt4
1.0
6.503 3.755 1.883
-6.503 3.755 1.883
0.000 -7.509 1.883
Dy Pt
6 8
direct
0.027 0.405 0.280
0.280 0.027 0.405
0.405 0.280 0.027
0.595 0.720 0.973
0.720 0.973 0.595
0.973 0.595 0.720
0.000 0.000 0.000
0.061 0.226 0.551
0.226 0.551 0.061
0.449 0.939 0.774
0.500 0.500 0.500
0.551 0.061 0.226
0.774 0.449 0.939
0.939 0.774 0.449
```

Values from the calculation:
DFT total energy	-62.012	eV/atom
spin magnetization	0.00	μB per atom
ΔE_f	-1417	meV per atom



First-principles (meta-GGA SCAN) data for a crystal of DyPt3 relaxed with PBEsol, as listed in the Alexandria database.

```
DyPt3
1.0
4.054 0.000 0.000
0.000 4.054 0.000
0.000 0.000 4.054
Dy Pt
1 3
direct
0.000 0.000 0.000
0.000 0.500 0.500
0.500 0.000 0.500
0.500 0.500 0.000
```

Values from the calculation:
DFT total energy	-65.738	eV/atom
spin magnetization	0.00	μB per atom
ΔE_f	-1145	meV per atom



First-principles (meta-GGA SCAN) data for a crystal of DyPt2 relaxed with PBEsol, as listed in the Alexandria database.

```
DyPt2
1.0
0.000 3.787 3.787
3.787 0.000 3.787
3.787 3.787 0.000
Dy Pt
2 4
direct
0.125 0.125 0.125
0.875 0.875 0.875
0.000 0.500 0.500
0.500 0.000 0.500
0.500 0.500 0.000
0.500 0.500 0.500
```

Values from the calculation:
DFT total energy	-64.039	eV/atom
spin magnetization	0.00	μB per atom
ΔE_f	-1312	meV per atom



First-principles (meta-GGA SCAN) data for a crystal of Dy5Pt3 relaxed with PBEsol, as listed in the Alexandria database.

```
Dy5Pt3
1.0
8.325 0.000 0.000
-4.162 7.210 0.000
0.000 0.000 6.050
Dy Pt
10 6
direct
0.000 0.246 0.250
0.000 0.754 0.750
0.246 0.000 0.250
0.246 0.246 0.750
0.333 0.667 0.000
0.333 0.667 0.500
0.667 0.333 0.000
0.667 0.333 0.500
0.754 0.000 0.750
0.754 0.754 0.250
0.000 0.395 0.750
0.000 0.605 0.250
0.395 0.000 0.750
0.395 0.395 0.250
0.605 0.000 0.250
0.605 0.605 0.750
```

Values from the calculation:
DFT total energy	-57.415	eV/atom
spin magnetization	0.00	μB per atom
ΔE_f	-1219	meV per atom



First-principles (meta-GGA SCAN) data for a crystal of DySbPt relaxed with PBEsol, as listed in the Alexandria database.

```
DySbPt
1.0
6.517 0.000 0.000
0.000 6.517 0.000
0.000 0.000 6.517
Dy Sb Pt
4 4 4
direct
0.000 0.000 0.000
0.000 0.500 0.500
0.500 0.000 0.500
0.500 0.500 0.000
0.000 0.000 0.500
0.000 0.500 0.000
0.500 0.000 0.000
0.500 0.500 0.500
0.250 0.250 0.250
0.250 0.750 0.750
0.750 0.250 0.750
0.750 0.750 0.250
```

Values from the calculation:
DFT total energy	-53.230	eV/atom
raw formation energy	-1.48	eV per atom
spin magnetization	0.00	μB per atom